Nb4NiRu5, relaxed, DFT PBE; DFT formation energy = -0.217 eV/atom
1.0
7.208 -2.123 0.000
7.208 2.123 0.000
-1.831 0.000 5.073
Nb Ni Ru
4 1 5
Direct
0.083 0.083 0.343
0.304 0.304 0.869
0.696 0.696 0.131
0.917 0.917 0.657
0.500 0.500 0.000
0.114 0.114 0.864
0.297 0.297 0.380
0.500 0.500 0.500
0.703 0.703 0.620
0.886 0.886 0.136

***

TaTeC3, relaxed, DFT PBE; energy above the most stable polymorph in this dataset = 0.822 eV per atom; E_form (uncorrected) = 2.7808 eV/atom
1.0
4.069 0.000 0.000
0.000 4.069 0.000
0.000 0.000 4.069
Ta Te C
1 1 3
Direct
0.000 0.000 0.000
0.500 0.500 0.500
0.000 0.500 0.500
0.500 0.000 0.500
0.500 0.500 0.000

***

NbBiPt2, relaxed, DFT PBE; DFT formation energy = -0.043 eV/atom
1.0
-3.758 3.758 2.868
3.758 -3.758 2.868
3.758 3.758 -2.868
Nb Bi Pt
2 2 4
Direct
0.000 0.000 0.000
0.750 0.250 0.500
0.250 0.750 0.500
0.500 0.500 0.000
0.108 0.125 0.483
0.375 0.892 0.017
0.642 0.625 0.517
0.875 0.358 0.983